Arrangement P

# CeThTc

Crystalline CeThTc at its relaxed geometry (PBE-GGA, the Alexandria database).

Properties
* space-group type: P3m1

Cell lengths 4.759, 4.759, 3.590 Å; angles 90.00, 90.00, 120.00 degrees
Element x y z (fractional)
Ce (0.000, 0.000, 0.000)
Th (0.667, 0.333, 0.374)
Tc (0.333, 0.667, 0.695)

---

Arrangement Q

# CeThTc

Crystalline CeThTc at its relaxed geometry (PBE-GGA, the Alexandria database).

Properties
* space-group type: I4mm

Cell lengths 6.051, 6.051, 6.051 Å; angles 146.06, 146.06, 48.76 degrees
Element x y z (fractional)
Ce (0.000, 0.000, 0.000)
Th (0.314, 0.314, 0.000)
Tc (0.659, 0.659, 0.000)

---

Arrangement R

# CeThTc

Crystalline CeThTc at its relaxed geometry (PBE-GGA, the Alexandria database).

Properties
* space-group type: P2_1/c

Cell lengths 7.124, 7.008, 7.352 Å; angles 90.00, 119.64, 90.00 degrees
Element x y z (fractional)
Ce (0.187, 0.191, 0.030)
Ce (0.187, 0.309, 0.530)
Ce (0.813, 0.691, 0.470)
Ce (0.813, 0.809, 0.970)
Th (0.299, 0.691, 0.924)
Th (0.299, 0.809, 0.424)
Th (0.701, 0.191, 0.576)
Th (0.701, 0.309, 0.076)
Tc (0.389, 0.053, 0.763)
Tc (0.389, 0.447, 0.263)
Tc (0.611, 0.553, 0.737)
Tc (0.611, 0.947, 0.237)

---

So which one wins? Going from most stable to least: arrangement Q, arrangement P, arrangement R.

---

Arrangement P

# Ce2ThTc2

Crystalline Ce2ThTc2 at its relaxed geometry (PBE-GGA, the Alexandria database).

Properties
* space-group type: P2_1/m

Cell lengths 5.742, 4.782, 8.691 Å; angles 90.00, 93.78, 90.00 degrees
Element x y z (fractional)
Ce (0.103, 0.250, 0.141)
Ce (0.153, 0.750, 0.499)
Ce (0.847, 0.250, 0.501)
Ce (0.897, 0.750, 0.859)
Th (0.407, 0.250, 0.768)
Th (0.593, 0.750, 0.232)
Tc (0.308, 0.750, 0.923)
Tc (0.405, 0.250, 0.380)
Tc (0.595, 0.750, 0.620)
Tc (0.692, 0.250, 0.077)

---

Arrangement Q

# Ce2ThTc2

Crystalline Ce2ThTc2 at its relaxed geometry (PBE-GGA, the Alexandria database).

Properties
* space-group type: P2_1/m

Cell lengths 6.331, 4.080, 9.626 Å; angles 90.00, 104.91, 90.00 degrees
Element x y z (fractional)
Ce (0.151, 0.250, 0.073)
Ce (0.312, 0.750, 0.365)
Ce (0.688, 0.250, 0.635)
Ce (0.849, 0.750, 0.927)
Th (0.243, 0.750, 0.728)
Th (0.757, 0.250, 0.272)
Tc (0.169, 0.250, 0.493)
Tc (0.416, 0.750, 0.042)
Tc (0.584, 0.250, 0.958)
Tc (0.831, 0.750, 0.507)

---

So which one wins? Going from most stable to least: arrangement P, arrangement Q.

---

Arrangement P

# CeTh2Tc

Crystalline CeTh2Tc at its relaxed geometry (PBE-GGA, the Alexandria database).

Properties
* space-group type: R3m

Cell lengths 6.980, 6.980, 6.980 Å; angles 37.70, 37.70, 37.70 degrees
Element x y z (fractional)
Ce (0.000, 0.000, 0.000)
Th (0.574, 0.574, 0.574)
Th (0.780, 0.780, 0.780)
Tc (0.181, 0.181, 0.181)

---

Arrangement Q

# CeTh2Tc

Crystalline CeTh2Tc at its relaxed geometry (PBE-GGA, the Alexandria database).

Properties
* space-group type: P4/mmm

Cell lengths 3.567, 3.567, 8.048 Å; angles 90.00, 90.00, 90.00 degrees
Element x y z (fractional)
Ce (0.000, 0.000, 0.000)
Th (0.500, 0.500, 0.281)
Th (0.500, 0.500, 0.719)
Tc (0.000, 0.000, 0.500)

---

Arrangement R

# CeTh2Tc

Crystalline CeTh2Tc at its relaxed geometry (PBE-GGA, the Alexandria database).

Properties
* space-group type: P2_1/m

Cell lengths 6.813, 4.644, 7.447 Å; angles 90.00, 114.08, 90.00 degrees
Element x y z (fractional)
Ce (0.098, 0.250, 0.245)
Ce (0.902, 0.750, 0.755)
Th (0.272, 0.250, 0.916)
Th (0.333, 0.750, 0.577)
Th (0.667, 0.250, 0.423)
Th (0.728, 0.750, 0.084)
Tc (0.386, 0.750, 0.214)
Tc (0.614, 0.250, 0.786)

---

So which one wins? Going from most stable to least: arrangement Q, arrangement R, arrangement P.

---

Arrangement P

# CeTh2Tc

Crystalline CeTh2Tc at its relaxed geometry (PBE-GGA, the Alexandria database).

Properties
* space-group type: R-3m

Cell lengths 10.395, 10.395, 10.395 Å; angles 21.23, 21.23, 21.23 degrees
Element x y z (fractional)
Ce (0.000, 0.000, 0.000)
Th (0.111, 0.111, 0.111)
Th (0.889, 0.889, 0.889)
Tc (0.500, 0.500, 0.500)

---

Arrangement Q

# CeTh2Tc

Crystalline CeTh2Tc at its relaxed geometry (PBE-GGA, the Alexandria database).

Properties
* space-group type: Pnma

Cell lengths 7.139, 9.848, 6.349 Å; angles 90.00, 90.00, 90.00 degrees
Element x y z (fractional)
Ce (0.049, 0.250, 0.156)
Ce (0.451, 0.750, 0.656)
Ce (0.549, 0.250, 0.344)
Ce (0.951, 0.750, 0.844)
Th (0.167, 0.062, 0.662)
Th (0.167, 0.438, 0.662)
Th (0.333, 0.562, 0.162)
Th (0.333, 0.938, 0.162)
Th (0.667, 0.062, 0.838)
Th (0.667, 0.438, 0.838)
Th (0.833, 0.562, 0.338)
Th (0.833, 0.938, 0.338)
Tc (0.147, 0.750, 0.459)
Tc (0.353, 0.250, 0.959)
Tc (0.647, 0.750, 0.041)
Tc (0.853, 0.250, 0.541)

---

So which one wins? Going from most stable to least: arrangement Q, arrangement P.

---

Arrangement P

# Ce3TlTc

Crystalline Ce3TlTc at its relaxed geometry (PBE-GGA, the Alexandria database).

Properties
* space-group type: P2_1/m

Cell lengths 6.755, 5.327, 7.261 Å; angles 90.00, 91.95, 90.00 degrees
Element x y z (fractional)
Ce (0.034, 0.250, 0.135)
Ce (0.152, 0.250, 0.551)
Ce (0.400, 0.750, 0.826)
Ce (0.600, 0.250, 0.174)
Ce (0.848, 0.750, 0.449)
Ce (0.966, 0.750, 0.865)
Tl (0.309, 0.750, 0.299)
Tl (0.691, 0.250, 0.701)
Tc (0.297, 0.250, 0.862)
Tc (0.703, 0.750, 0.138)

---

Arrangement Q

# Ce3TlTc

Crystalline Ce3TlTc at its relaxed geometry (PBE-GGA, the Alexandria database).

Properties
* space-group type: C2/m

Cell lengths 6.201, 6.201, 9.604 Å; angles 108.77, 108.77, 51.86 degrees
Element x y z (fractional)
Ce (0.116, 0.116, 0.124)
Ce (0.136, 0.136, 0.750)
Ce (0.370, 0.370, 0.554)
Ce (0.630, 0.630, 0.446)
Ce (0.864, 0.864, 0.250)
Ce (0.884, 0.884, 0.876)
Tl (0.408, 0.408, 0.090)
Tl (0.592, 0.592, 0.910)
Tc (0.088, 0.088, 0.421)
Tc (0.912, 0.912, 0.579)

---

Arrangement R

# Ce3TlTc

Crystalline Ce3TlTc at its relaxed geometry (PBE-GGA, the Alexandria database).

Properties
* space-group type: Pm-3m

Cell lengths 5.297, 5.297, 5.297 Å; angles 90.00, 90.00, 90.00 degrees
Element x y z (fractional)
Ce (0.000, 0.000, 0.500)
Ce (0.000, 0.500, 0.000)
Ce (0.500, 0.000, 0.000)
Tl (0.500, 0.500, 0.500)
Tc (0.000, 0.000, 0.000)

---

So which one wins? Going from most stable to least: arrangement Q, arrangement P, arrangement R.

---

Arrangement P

# Ce6Tl2Tc

Crystalline Ce6Tl2Tc at its relaxed geometry (PBE-GGA, the Alexandria database).

Properties
* space-group type: Amm2

Cell lengths 3.603, 9.096, 9.096 Å; angles 126.03, 90.00, 90.00 degrees
Element x y z (fractional)
Ce (0.000, 0.000, 0.000)
Ce (0.000, 0.521, 0.784)
Ce (0.000, 0.784, 0.521)
Ce (0.500, 0.107, 0.740)
Ce (0.500, 0.358, 0.358)
Ce (0.500, 0.740, 0.107)
Tl (0.000, 0.090, 0.421)
Tl (0.000, 0.421, 0.090)
Tc (0.500, 0.751, 0.751)

---

Arrangement Q

# Ce6Tl2Tc

Crystalline Ce6Tl2Tc at its relaxed geometry (PBE-GGA, the Alexandria database).

Properties
* space-group type: C2/m

Cell lengths 6.832, 6.832, 7.747 Å; angles 124.15, 124.15, 63.66 degrees
Element x y z (fractional)
Ce (0.181, 0.181, 0.744)
Ce (0.238, 0.742, 0.738)
Ce (0.258, 0.762, 0.262)
Ce (0.742, 0.238, 0.738)
Ce (0.762, 0.258, 0.262)
Ce (0.819, 0.819, 0.256)
Tl (0.251, 0.251, 0.240)
Tl (0.749, 0.749, 0.760)
Tc (0.500, 0.500, 0.000)

---

So which one wins? Going from most stable to least: arrangement Q, arrangement P.

---

Arrangement P

# CeTmTlTc

Crystalline CeTmTlTc at its relaxed geometry (PBE-GGA, the Alexandria database).

Properties
* space-group type: F-43m

Cell lengths 5.109, 5.109, 5.109 Å; angles 60.00, 60.00, 60.00 degrees
Element x y z (fractional)
Ce (0.000, 0.000, 0.000)
Tm (0.500, 0.500, 0.500)
Tl (0.750, 0.750, 0.750)
Tc (0.250, 0.250, 0.250)

---

Arrangement Q

# CeTmTlTc

Crystalline CeTmTlTc at its relaxed geometry (PBE-GGA, the Alexandria database).

Properties
* space-group type: P4mm

Cell lengths 3.403, 3.403, 8.360 Å; angles 90.00, 90.00, 90.00 degrees
Element x y z (fractional)
Ce (0.000, 0.000, 0.000)
Tm (0.000, 0.000, 0.403)
Tl (0.500, 0.500, 0.691)
Tc (0.500, 0.500, 0.196)

---

So which one wins? Going from most stable to least: arrangement Q, arrangement P.

---

Arrangement P

# Ce2TmTc

Crystalline Ce2TmTc at its relaxed geometry (PBE-GGA, the Alexandria database).

Properties
* space-group type: P4/mmm

Cell lengths 3.437, 3.437, 8.506 Å; angles 90.00, 90.00, 90.00 degrees
Element x y z (fractional)
Ce (0.000, 0.000, 0.204)
Ce (0.000, 0.000, 0.796)
Tm (0.500, 0.500, 0.500)
Tc (0.500, 0.500, 0.000)

---

Arrangement Q

# Ce2TmTc

Crystalline Ce2TmTc at its relaxed geometry (PBE-GGA, the Alexandria database).

Properties
* space-group type: Pnma

Cell lengths 7.128, 9.617, 6.067 Å; angles 90.00, 90.00, 90.00 degrees
Element x y z (fractional)
Ce (0.160, 0.063, 0.144)
Ce (0.160, 0.437, 0.144)
Ce (0.340, 0.563, 0.644)
Ce (0.340, 0.937, 0.644)
Ce (0.660, 0.063, 0.356)
Ce (0.660, 0.437, 0.356)
Ce (0.840, 0.563, 0.856)
Ce (0.840, 0.937, 0.856)
Tm (0.052, 0.250, 0.629)
Tm (0.448, 0.750, 0.129)
Tm (0.552, 0.250, 0.871)
Tm (0.948, 0.750, 0.371)
Tc (0.077, 0.750, 0.895)
Tc (0.423, 0.250, 0.395)
Tc (0.577, 0.750, 0.605)
Tc (0.923, 0.250, 0.105)

---

Arrangement R

# Ce2TmTc

Crystalline Ce2TmTc at its relaxed geometry (PBE-GGA, the Alexandria database).

Properties
* space-group type: R-3m

Cell lengths 10.800, 10.800, 10.800 Å; angles 17.55, 17.55, 17.55 degrees
Element x y z (fractional)
Ce (0.099, 0.099, 0.099)
Ce (0.901, 0.901, 0.901)
Tm (0.000, 0.000, 0.000)
Tc (0.500, 0.500, 0.500)

---

So which one wins? Going from most stable to least: arrangement Q, arrangement P, arrangement R.

---

Arrangement P

# CeVTc

Crystalline CeVTc at its relaxed geometry (PBE-GGA, the Alexandria database).

Properties
* space-group type: I4mm

Cell lengths 6.156, 6.156, 6.156 Å; angles 150.94, 150.94, 41.56 degrees
Element x y z (fractional)
Ce (0.000, 0.000, 0.000)
V (0.701, 0.701, 0.000)
Tc (0.308, 0.308, 0.000)

---

Arrangement Q

# CeVTc

Crystalline CeVTc at its relaxed geometry (PBE-GGA, the Alexandria database).

Properties
* space-group type: P3m1

Cell lengths 3.019, 3.019, 6.932 Å; angles 90.00, 90.00, 120.00 degrees
Element x y z (fractional)
Ce (0.000, 0.000, 0.000)
V (0.333, 0.667, 0.615)
Tc (0.667, 0.333, 0.372)

---

So which one wins? Going from most stable to least: arrangement P, arrangement Q.

---

Arrangement P

# CeVTc2

Crystalline CeVTc2 at its relaxed geometry (PBE-GGA, the Alexandria database).

Properties
* space-group type: Fm-3m

Cell lengths 4.555, 4.555, 4.555 Å; angles 60.00, 60.00, 60.00 degrees
Element x y z (fractional)
Ce (0.000, 0.000, 0.000)
V (0.500, 0.500, 0.500)
Tc (0.250, 0.250, 0.250)
Tc (0.750, 0.750, 0.750)

---

Arrangement Q

# CeVTc2

Crystalline CeVTc2 at its relaxed geometry (PBE-GGA, the Alexandria database).

Properties
* space-group type: P4/mmm

Cell lengths 4.602, 4.602, 3.210 Å; angles 90.00, 90.00, 90.00 degrees
Element x y z (fractional)
Ce (0.000, 0.000, 0.000)
V (0.500, 0.500, 0.000)
Tc (0.000, 0.500, 0.500)
Tc (0.500, 0.000, 0.500)

---

So which one wins? Going from most stable to least: arrangement P, arrangement Q.